A geometry-optimized Np2S2Cl structure. Source: Alexandria via LeMat-Bulk, functional GGA-PBE.

a b c (Å): 4.8795 4.8795 16.1248
angles (deg): 90.00 90.00 120.00
Closest atoms and distances in Å follow each position.
Space group R-3m (No. 166, hexagonal axes)
Unique sites:
Np 0.0000 0.0000 0.0910 (multiplicity 6)  4 S 2.76-2.84, 1 Np 2.93, 3 Cl 3.07
S 0.0000 0.0000 0.2620 (multiplicity 6)  4 Np 2.76-2.84
Cl 0.0000 0.0000 0.5000 (multiplicity 3)  6 Np 3.07, 6 S 3.21

Energy relative to the elements, uncorrected (eV per atom): -1.10
Mass density (g/cm3): 8.59
Distance to the lowest polymorph of the same formula (eV/f.u.): 1.72
Total magnetic moment (μB/atom): 1.80
Calculated total energy (eV/cell): -124.384


A geometry-optimized TbNdDy2Tl2 structure. Source: Alexandria via LeMat-Bulk, functional GGA-PBE.

a b c (Å): 5.1547 10.0888 6.8343
angles (deg): 90.00 90.00 90.00
Closest atoms and distances in Å follow each position.
Space group Pmc2_1 (No. 26)
Unique sites:
Tb 0.0000 0.1904 0.0000 (multiplicity 2)  4 Tl 3.21-3.34, 2 Nd 3.53
Nd 0.5000 0.0419 0.2761 (multiplicity 2)  5 Tl 3.28-3.56, 2 Nd 3.52, 2 Tb 3.53
Dy 0.0000 0.4569 0.3679 (multiplicity 2)  5 Tl 3.23-3.55, 4 Dy 3.51-3.53
Dy 0.5000 0.3181 0.6510 (multiplicity 2)  4 Tl 3.18-3.24, 2 Dy 3.51
Tl 0.0000 0.1395 0.5368 (multiplicity 2)  2 Tb 3.21-3.34, 3 Dy 3.24-3.40, 4 Nd 3.28-3.56
Tl 0.5000 0.3677 0.1145 (multiplicity 2)  6 Dy 3.18-3.55, 2 Tb 3.23, 1 Nd 3.47

Mass density (g/cm3): 9.69
Total magnetic moment (μB/atom): 0.00
E_form (kJ/mol of formula units): -156
Calculated total energy (eV/cell): -49.905


A geometry-optimized AcPmPd2 structure. Source: Alexandria via LeMat-Bulk, functional GGA-PBE.

a b c (Å): 7.4168 7.4168 7.4168
angles (deg): 90.00 90.00 90.00
Closest atoms and distances in Å follow each position.
Space group Fm-3m (No. 225)
Unique sites:
Ac 0.0000 0.0000 0.0000 (multiplicity 4)  8 Pd 3.21
Pm 0.0000 0.0000 0.5000 (multiplicity 4)  8 Pd 3.21
Pd 0.2500 0.2500 0.2500 (multiplicity 8)  4 Ac 3.21, 4 Pm 3.21

Mass density (g/cm3): 9.52
Distance to the lowest polymorph of the same formula (eV/f.u.): 0.40
Total magnetic moment (μB/atom): 0.00
E_form (kJ/mol of formula units): -273
Calculated total energy (eV/cell): -88.280


A geometry-optimized Sm2PtAu2 structure. Source: Alexandria via LeMat-Bulk, functional GGA-PBE.

a b c (Å): 3.7474 4.1623 15.0538
angles (deg): 90.00 90.00 90.00
Closest atoms and distances in Å follow each position.
Space group Amm2 (No. 38)
Unique sites:
Sm 0.0000 0.0000 0.0000 (multiplicity 2)  4 Pt 2.94
Sm 0.0000 0.0000 0.2467 (multiplicity 2)  8 Au 3.00-3.33
Pt 0.5000 0.0000 0.4397 (multiplicity 2)  3 Au 2.77-2.81, 4 Sm 2.94
Au 0.5000 0.0000 0.6266 (multiplicity 2)  1 Pt 2.81, 1 Au 2.88
Au 0.5000 0.0000 0.8177 (multiplicity 2)  2 Pt 2.77, 1 Au 2.88, 4 Sm 3.00

Mass density (g/cm3): 12.58
Total magnetic moment (μB/atom): 0.00
E_form (kJ/mol of formula units): -431
Calculated total energy (eV/cell): -52.993


A geometry-optimized Zr2PtAu structure. Source: Alexandria via LeMat-Bulk, functional GGA-PBE.

a b c (Å): 3.3586 3.3586 6.9559
angles (deg): 90.00 90.00 90.00
Closest atoms and distances in Å follow each position.
Space group P4/mmm (No. 123)
Unique sites:
Zr 0.0000 0.0000 0.2379 (multiplicity 2)  4 Pt 2.89, 4 Au 2.99
Pt 0.5000 0.5000 0.0000 (multiplicity 1)  8 Zr 2.89
Au 0.5000 0.5000 0.5000 (multiplicity 1)  8 Zr 2.99

Mass density (g/cm3): 12.16
Total magnetic moment (μB/atom): 0.00
E_form (kJ/mol of formula units): -271
Calculated total energy (eV/cell): -29.223


A geometry-optimized Pr4Nd2Sc structure. Source: Alexandria via LeMat-Bulk, functional GGA-PBE.

a b c (Å): 6.9320 8.6735 9.4227
angles (deg): 65.00 71.20 76.34
Closest atoms and distances in Å follow each position.
Space group P1 (No. 1)
Unique sites:
Pr 0.0000 0.0000 0.0000 (multiplicity 1)  3 Sc 3.53-3.70, 5 Pr 3.55-3.68, 4 Nd 3.63-3.67
Pr 0.0378 0.1907 0.2564 (multiplicity 1)  4 Nd 3.54-3.71, 6 Pr 3.55-3.81, 2 Sc 3.64-3.66
Pr 0.1418 0.5744 0.2815 (multiplicity 1)  7 Pr 3.57-3.75, 1 Sc 3.58, 4 Nd 3.61-3.71
Pr 0.1832 0.7610 0.5425 (multiplicity 1)  7 Pr 3.58-3.77, 3 Nd 3.64-3.75, 2 Sc 3.68-3.71
Pr 0.6080 0.4748 0.4026 (multiplicity 1)  7 Pr 3.57-3.71, 3 Nd 3.60-3.75, 2 Sc 3.70-3.73
Pr 0.7003 0.8558 0.4251 (multiplicity 1)  8 Pr 3.58-3.73, 1 Sc 3.62, 3 Nd 3.66-3.72
Pr 0.7435 0.0465 0.7001 (multiplicity 1)  2 Sc 3.55-3.60, 4 Nd 3.60-3.68, 6 Pr 3.60-3.81
Pr 0.8462 0.4252 0.7178 (multiplicity 1)  6 Pr 3.60-3.75, 2 Sc 3.61-3.63, 4 Nd 3.62-3.67
Nd 0.2755 0.1440 0.5756 (multiplicity 1)  1 Sc 3.57, 9 Pr 3.60-3.71, 2 Nd 3.71-3.75
Nd 0.4148 0.7079 0.8588 (multiplicity 1)  2 Sc 3.59-3.64, 6 Pr 3.61-3.72, 4 Nd 3.61-3.71
Nd 0.5541 0.2755 0.1358 (multiplicity 1)  2 Sc 3.49-3.50, 7 Pr 3.54-3.75, 3 Nd 3.67-3.75
Nd 0.8901 0.6177 0.9783 (multiplicity 1)  3 Nd 3.61-3.71, 7 Pr 3.62-3.75, 2 Sc 3.67-3.72
Sc 0.3242 0.3303 0.8338 (multiplicity 1)  4 Nd 3.50-3.72, 7 Pr 3.56-3.71, 1 Sc 3.62
Sc 0.4648 0.9086 0.1130 (multiplicity 1)  3 Nd 3.49-3.67, 8 Pr 3.53-3.73, 1 Sc 3.62

Mass density (g/cm3): 6.17
Distance to the lowest polymorph of the same formula (eV/f.u.): 0.00
Total magnetic moment (μB/atom): 0.00
E_form (kJ/mol of formula units): 36
Calculated total energy (eV/cell): -69.227